Compound: Al2ReIrW
Source: the Alexandria database
Functional: GGA-PBE
Structure: optimized geometry

Cell: 4.5834 4.7667 4.5834 Å, 90.00 90.00 90.00°
Last column: nearest neighbours and their distance in Å.
Fractional positions:
1 Al 0.0000 0.0000 0.5000  2 Re 2.29
2 W 0.0000 0.5000 0.0000  2 Re 2.38
3 Ir 0.5000 0.5000 0.5000  4 W 3.24, 8 Al 3.31
4 Re 0.0000 0.0000 0.0000  4 Al 2.29, 2 W 2.38
5 Al 0.5000 0.0000 0.0000  2 Re 2.29

Calculated values
The crystal system is tetragonal. The calculation puts the calculated formation energy at 1.365 eV/atom.

---

Compound: HPdPtRh2
Source: the Alexandria database
Functional: GGA-PBE
Structure: optimized geometry

Cell: 3.9438 3.9438 3.9745 Å, 90.00 90.00 90.00°
Last column: nearest neighbours and their distance in Å.
Fractional positions:
1 Pt 0.5000 0.5000 0.5000  4 Pd 2.79, 8 Rh 2.80
2 H 0.0000 0.0000 0.0000  4 Rh 1.97, 2 Pd 1.99
3 Rh 0.0000 0.5000 0.0000  2 H 1.97
4 Rh 0.5000 0.0000 0.0000  2 H 1.97
5 Pd 0.0000 0.0000 0.5000  2 H 1.99

Calculated values
The crystal system is tetragonal. Its distance to the lowest polymorph of the same formula is 0 meV/atom.

---

Compound: Ca4Bi
Source: the Alexandria database
Functional: GGA-PBE
Structure: optimized geometry

Cell: 6.1055 6.1055 6.1055 Å, 90.00 90.00 90.00°
Last column: nearest neighbours and their distance in Å.
Fractional positions:
1 Ca 0.5000 0.0000 0.5000  2 Bi 3.05
2 Ca 0.5000 0.5000 0.0000  2 Bi 3.05
3 Ca 0.0000 0.5000 0.5000  2 Bi 3.05
4 Ca 0.0000 0.0000 0.0000  12 Ca 4.32
5 Bi 0.5000 0.5000 0.5000  6 Ca 3.05

Calculated values
The crystal system is cubic. The calculation puts the calculated formation energy at -0.191 eV/atom.